Entry 1:
An optimized crystal structure of Mn3NiH. Source: the Alexandria database, functional PBE.

a b c (Å): 4.5579 4.5579 4.5579
angles (deg): 90.00 90.00 90.00
With the nearest neighbours (Å) after each atom.
Atoms (fractional coordinates):
Ni 0.0000 0.0000 0.0000  6 Mn 2.28
Mn 0.0000 0.5000 0.0000  2 Ni 2.28
Mn 0.0000 0.0000 0.5000  2 Ni 2.28
Mn 0.5000 0.0000 0.0000  2 Ni 2.28
H 0.5000 0.5000 0.5000  12 Mn 3.22

Properties
Relative energy among the computed polymorphs (eV per formula unit): 5.82
Space-group type: Pm-3m (221)


Entry 2:
An optimized crystal structure of MnNi3H. Source: the Alexandria database, functional PBE.

a b c (Å): 3.6016 5.0067 5.0264
angles (deg): 90.13 90.00 90.00
With the nearest neighbours (Å) after each atom.
Atoms (fractional coordinates):
H 0.6195 0.5116 0.0359  4 Ni 1.78-1.81, 2 Mn 1.88-1.91
H 0.1195 0.2619 0.2864  6 Ni 1.80-1.84
Mn 0.6195 0.2298 0.7786  1 H 1.91
Mn 0.6195 0.7834 0.7770  1 H 1.88
Ni 0.1195 0.0032 0.5384  1 H 1.81
Ni 0.1195 0.5094 0.0233  3 H 1.80-1.81
Ni 0.6195 0.2550 0.2893  3 H 1.80-1.81
Ni 0.6195 0.7604 0.2903  1 H 1.78
Ni 0.1195 0.0035 0.0267  1 H 1.84
Ni 0.1195 0.5094 0.5480  1 H 1.80

Properties
Relative energy among the computed polymorphs (eV per formula unit): 0.76
Space-group type: Pm (6)


Entry 3:
An optimized crystal structure of MnNi3H. Source: the Alexandria database, functional PBE.

a b c (Å): 3.9965 3.9965 7.1944
angles (deg): 90.00 90.00 120.00
With the nearest neighbours (Å) after each atom.
Atoms (fractional coordinates):
Ni 0.0000 0.0000 0.2500  2 H 1.80
Ni 0.0000 0.0000 0.7500  2 H 1.80
Ni 0.3333 0.6667 0.0817  3 H 2.38, 4 Mn 2.39-2.61, 7 Ni 2.42-2.61
Ni 0.3333 0.6667 0.4183  3 H 2.38, 4 Mn 2.39-2.61, 7 Ni 2.42-2.61
Ni 0.6667 0.3333 0.5817  3 H 2.38, 4 Mn 2.39-2.61, 7 Ni 2.42-2.61
Ni 0.6667 0.3333 0.9183  3 H 2.38, 4 Mn 2.39-2.61, 7 Ni 2.42-2.61
Mn 0.3333 0.6667 0.7500  5 Ni 2.31-2.39
Mn 0.6667 0.3333 0.2500  5 Ni 2.31-2.39
H 0.0000 0.0000 0.0000  2 Ni 1.80
H 0.0000 0.0000 0.5000  2 Ni 1.80

Properties
Relative energy among the computed polymorphs (eV per formula unit): 1.68
Space-group type: P6_3/mmc (194)


Entry 4:
An optimized crystal structure of Mn2Ni5H2. Source: the Alexandria database, functional PBE.

a b c (Å): 3.5716 4.5249 5.7494
angles (deg): 96.17 90.00 113.24
With the nearest neighbours (Å) after each atom.
Atoms (fractional coordinates):
Mn 0.5723 0.1447 0.7144  1 H 1.98
Mn 0.4277 0.8553 0.2856  1 H 1.98
Ni 0.7135 0.4270 0.1469  3 H 1.79-1.85
Ni 0.2865 0.5730 0.8531  3 H 1.79-1.85
Ni 0.8608 0.7216 0.5718  1 H 1.81
Ni 0.1392 0.2784 0.4282  1 H 1.81
Ni 0.0000 0.0000 0.0000  2 H 1.76
H 0.7997 0.5994 0.8638  5 Ni 1.76-1.85
H 0.2003 0.4006 0.1362  5 Ni 1.76-1.85

Properties
VASP energy (eV per cell): -54.48
Space-group type: C2/m (12)


Entry 5:
An optimized crystal structure of MnNi3H. Source: the Alexandria database, functional PBE.

a b c (Å): 16.2165 4.0611 6.8535
angles (deg): 90.00 155.87 90.00
With the nearest neighbours (Å) after each atom.
Atoms (fractional coordinates):
Ni 0.1481 0.2452 0.5565  1 H 1.63
Ni 0.8519 0.7548 0.4435  1 H 1.63
Ni 0.3519 0.7452 0.9435  1 H 1.63
Ni 0.6481 0.2548 0.0565  1 H 1.63
Ni 0.2800 0.2482 0.2191  1 H 1.61
Ni 0.7200 0.7518 0.7809  1 H 1.61
Ni 0.2200 0.7482 0.2809  1 H 1.61
Ni 0.7800 0.2518 0.7191  1 H 1.61
Ni 0.6149 0.7374 0.1991  2 H 1.65-1.67
Ni 0.3851 0.2626 0.8009  2 H 1.65-1.67
Ni 0.8851 0.2374 0.3009  2 H 1.65-1.67
Ni 0.1149 0.7626 0.6991  2 H 1.65-1.67
Mn 0.4827 0.7523 0.5587  2 Mn 2.42-2.45, 10 Ni 2.44-2.64
Mn 0.5173 0.2477 0.4413  2 Mn 2.42-2.45, 10 Ni 2.44-2.64
Mn 0.0173 0.2523 0.9413  2 Mn 2.42-2.45, 10 Ni 2.44-2.64
Mn 0.9827 0.7477 0.0587  2 Mn 2.42-2.45, 10 Ni 2.44-2.64
H 0.1059 0.3519 0.6906  4 Ni 1.61-1.67
H 0.8941 0.6481 0.3094  4 Ni 1.61-1.67
H 0.3941 0.8519 0.8094  4 Ni 1.61-1.67
H 0.6059 0.1481 0.1906  4 Ni 1.61-1.67

Properties
Relative energy among the computed polymorphs (eV per formula unit): 1.02
Space-group type: P2_1/c (14)


Entry 6:
An optimized crystal structure of MnNiH4. Source: the Alexandria database, functional PBE.

a b c (Å): 2.6845 2.6845 4.9616
angles (deg): 90.00 90.00 90.00
With the nearest neighbours (Å) after each atom.
Atoms (fractional coordinates):
Mn 0.0000 0.0000 0.5000  8 H 1.82
Ni 0.0000 0.0000 0.0000  8 H 1.83
H 0.5000 0.0000 0.2519  2 Mn 1.82, 2 Ni 1.83, 4 H 1.90
H 0.0000 0.5000 0.2519  2 Mn 1.82, 2 Ni 1.83, 4 H 1.90
H 0.0000 0.5000 0.7481  2 Mn 1.82, 2 Ni 1.83, 4 H 1.90
H 0.5000 0.0000 0.7481  2 Mn 1.82, 2 Ni 1.83, 4 H 1.90

Properties
VASP energy (eV per cell): -27.51
Space-group type: P4/mmm (123)


no.,N(E_F) (states/eV per atom)
1,0.537
2,1.077
3,0.595
4,0.963
5,1.048
6,0.382